(1)
Computed, not measured: a relaxed structure of Re3C at the PBE level of DFT.

Structure (CIF):
```
data_Re3C
_cell_length_a 4.1670
_cell_length_b 4.1670
_cell_length_c 13.2002
_cell_angle_alpha 90.00
_cell_angle_beta 90.00
_cell_angle_gamma 90.00
_space_group_name_H-M_alt 'P 1'
_space_group_IT_number 1
loop_
_space_group_symop_operation_xyz
'x,y,z'
loop_
_atom_site_label
_atom_site_fract_x
_atom_site_fract_y
_atom_site_fract_z
Re1 0.0000 0.0000 0.1430
Re2 0.0000 0.0000 0.8570
Re3 0.0000 0.5000 0.0000
Re4 0.0000 0.5000 0.2500
Re5 0.0000 0.5000 0.5000
Re6 0.0000 0.5000 0.7500
Re7 0.5000 0.0000 0.0000
Re8 0.5000 0.0000 0.2500
Re9 0.5000 0.0000 0.5000
Re10 0.5000 0.0000 0.7500
Re11 0.5000 0.5000 0.3570
Re12 0.5000 0.5000 0.6430
C1 0.0000 0.0000 0.4451
C2 0.0000 0.0000 0.5549
C3 0.5000 0.5000 0.0549
C4 0.5000 0.5000 0.9451
```

Output
The formation enthalpy at 0 K comes out at 1.000 eV per atom. The energy above the lowest structure with this stoichiometry comes out at 1.017 eV per atom.

(2)
Computed, not measured: a relaxed structure of Mg2Si3 at the PBE level of DFT.

Structure (CIF):
```
data_Mg2Si3
_cell_length_a 3.8641
_cell_length_b 6.2600
_cell_length_c 17.4330
_cell_angle_alpha 82.25
_cell_angle_beta 85.79
_cell_angle_gamma 72.04
_space_group_name_H-M_alt 'P 1'
_space_group_IT_number 1
loop_
_space_group_symop_operation_xyz
'x,y,z'
loop_
_atom_site_label
_atom_site_fract_x
_atom_site_fract_y
_atom_site_fract_z
Mg1 0.0000 0.0000 0.0000
Mg2 0.0300 0.1337 0.6602
Mg3 0.1934 0.6736 0.8401
Mg4 0.3149 0.7758 0.3378
Mg5 0.4124 0.7126 0.1613
Mg6 0.5046 0.2847 0.5136
Mg7 0.5883 0.2255 0.3425
Mg8 0.9231 0.2155 0.8253
Si1 0.1645 0.1430 0.2287
Si2 0.2002 0.8823 0.5367
Si3 0.3380 0.5498 0.6294
Si4 0.3723 0.2771 0.9356
Si5 0.5336 0.4093 0.0535
Si6 0.5879 0.9381 0.7633
Si7 0.7206 0.0884 0.1493
Si8 0.7391 0.8589 0.4543
Si9 0.7983 0.5761 0.7113
Si10 0.9385 0.4841 0.4103
Si11 0.9596 0.5870 0.9996
Si12 0.9672 0.5205 0.2676
```

Output
The energy above the lowest structure with this stoichiometry comes out at 0.060 eV per atom. As for the uncorrected formation energy: 0.09 eV/atom.

(3)
Computed, not measured: a relaxed structure of GaNiOs at the PBE level of DFT.

Structure (CIF):
```
data_GaNiOs
_cell_length_a 8.1917
_cell_length_b 3.8209
_cell_length_c 5.3231
_cell_angle_alpha 90.00
_cell_angle_beta 104.93
_cell_angle_gamma 90.00
_space_group_name_H-M_alt 'P 1'
_space_group_IT_number 1
loop_
_space_group_symop_operation_xyz
'x,y,z'
loop_
_atom_site_label
_atom_site_fract_x
_atom_site_fract_y
_atom_site_fract_z
Ga1 0.0000 0.0000 0.0000
Ga2 0.1927 0.5000 0.3373
Ga3 0.5000 0.5000 0.0000
Ga4 0.6927 0.0000 0.3373
Ni1 0.1779 0.5000 0.8670
Ni2 0.3708 0.0000 0.1703
Ni3 0.6779 0.0000 0.8670
Ni4 0.8708 0.5000 0.1703
Os1 0.0242 0.0000 0.5267
Os2 0.3406 0.0000 0.6560
Os3 0.5242 0.5000 0.5267
Os4 0.8406 0.5000 0.6560
```

Output
The formation enthalpy at 0 K comes out at -0.032 eV per atom.

(4)
Computed, not measured: a relaxed structure of Y7Ho12Tl at the PBE level of DFT.

Structure (CIF):
```
data_Y7Ho12Tl
_cell_length_a 8.7058
_cell_length_b 8.7058
_cell_length_c 8.7058
_cell_angle_alpha 89.27
_cell_angle_beta 89.27
_cell_angle_gamma 89.27
_space_group_name_H-M_alt 'P 1'
_space_group_IT_number 1
loop_
_space_group_symop_operation_xyz
'x,y,z'
loop_
_atom_site_label
_atom_site_fract_x
_atom_site_fract_y
_atom_site_fract_z
Y1 0.0000 0.0000 0.0000
Y2 0.1269 0.7172 0.2625
Y3 0.2625 0.1269 0.7172
Y4 0.2828 0.7375 0.8731
Y5 0.7172 0.2625 0.1269
Y6 0.7375 0.8731 0.2828
Y7 0.8731 0.2828 0.7375
Ho1 0.0339 0.1580 0.3763
Ho2 0.1580 0.3763 0.0339
Ho3 0.1628 0.4941 0.6116
Ho4 0.3763 0.0339 0.1580
Ho5 0.3884 0.8372 0.5059
Ho6 0.4941 0.6116 0.1628
Ho7 0.5059 0.3884 0.8372
Ho8 0.6116 0.1628 0.4941
Ho9 0.6237 0.9661 0.8420
Ho10 0.8372 0.5059 0.3884
Ho11 0.8420 0.6237 0.9661
Ho12 0.9661 0.8420 0.6237
Tl1 0.5000 0.5000 0.5000
```

Output
The formation enthalpy at 0 K comes out at 0.189 eV per atom.

(5)
Computed, not measured: a relaxed structure of NdDy2Rh2 at the PBE level of DFT.

Structure (CIF):
```
data_NdDy2Rh2
_cell_length_a 6.3954
_cell_length_b 6.3931
_cell_length_c 6.6613
_cell_angle_alpha 90.00
_cell_angle_beta 114.44
_cell_angle_gamma 90.00
_space_group_name_H-M_alt 'P 1'
_space_group_IT_number 1
loop_
_space_group_symop_operation_xyz
'x,y,z'
loop_
_atom_site_label
_atom_site_fract_x
_atom_site_fract_y
_atom_site_fract_z
Nd1 0.0000 0.0000 0.0000
Nd2 0.5000 0.5000 0.0000
Dy1 0.0000 0.2532 0.5000
Dy2 0.0000 0.7468 0.5000
Dy3 0.5000 0.2468 0.5000
Dy4 0.5000 0.7532 0.5000
Rh1 0.1322 0.5000 0.2127
Rh2 0.3678 0.0000 0.7873
Rh3 0.6322 0.0000 0.2127
Rh4 0.8678 0.5000 0.7873
```

Output
The formation enthalpy at 0 K comes out at -0.549 eV per atom. The energy above the lowest structure with this stoichiometry comes out at 0.037 eV per atom.

(6)
Computed, not measured: a relaxed structure of TmScAlCd at the PBE level of DFT.

Structure (CIF):
```
data_TmScAlCd
_cell_length_a 7.1012
_cell_length_b 7.1012
_cell_length_c 7.1012
_cell_angle_alpha 90.00
_cell_angle_beta 90.00
_cell_angle_gamma 90.00
_space_group_name_H-M_alt 'P 1'
_space_group_IT_number 1
loop_
_space_group_symop_operation_xyz
'x,y,z'
loop_
_atom_site_label
_atom_site_fract_x
_atom_site_fract_y
_atom_site_fract_z
Tm1 0.0000 0.0000 0.0000
Tm2 0.0000 0.5000 0.5000
Tm3 0.5000 0.0000 0.5000
Tm4 0.5000 0.5000 0.0000
Sc1 0.0000 0.0000 0.5000
Sc2 0.0000 0.5000 0.0000
Sc3 0.5000 0.0000 0.0000
Sc4 0.5000 0.5000 0.5000
Al1 0.2500 0.2500 0.2500
Al2 0.2500 0.7500 0.7500
Al3 0.7500 0.2500 0.7500
Al4 0.7500 0.7500 0.2500
Cd1 0.2500 0.2500 0.7500
Cd2 0.2500 0.7500 0.2500
Cd3 0.7500 0.2500 0.2500
Cd4 0.7500 0.7500 0.7500
```

Output
The formation enthalpy at 0 K comes out at -0.342 eV per atom. The energy above the lowest structure with this stoichiometry comes out at 0.021 eV per atom.

What is the formula in the fourth record?
Y7Ho12Tl